# 1
BeFeS2N | PBEsol | optimized geometry

Its density of states at the Fermi level is 4.6 states/eV/f.u. The magnetization is 0.0 μB/cell. The raw formation energy is 0.47 eV per atom. The space-group type is P4/mmm. As for the volume: 68.2 Å³/cell.

Unit cell a=4.541 b=4.541 c=3.307 alpha=90.00 beta=90.00 gamma=90.00
Positions (direct):
Be (0.000, 0.000, 0.000)
Fe (0.500, 0.500, 0.500)
S (0.000, 0.500, 0.500)
S (0.500, 0.000, 0.500)
N (0.500, 0.500, 0.000)

---

# 2
BeFe2Ni | PBEsol | optimized geometry

Its density of states at the Fermi level is 4.2 states/eV/f.u. The magnetization is 4.1 μB/cell. The value obtained for the formation energy is -0.26 eV/f.u. The space-group type is I4/mmm. As for the volume: 39.6 Å³/cell.

Unit cell a=4.331 b=4.331 c=4.331 alpha=135.29 beta=135.29 gamma=65.08
Positions (direct):
Be (0.000, 0.000, 0.000)
Fe (0.250, 0.750, 0.500)
Fe (0.750, 0.250, 0.500)
Ni (0.500, 0.500, 0.000)

---

# 3
BeFeNi2 | PBEsol | optimized geometry

Its density of states at the Fermi level is 2.4 states/eV/f.u. The magnetization is 3.6 μB/cell. The value obtained for the formation energy is -0.66 eV/f.u. The space-group type is I4/mmm. As for the volume: 39.9 Å³/cell.

Unit cell a=4.094 b=4.094 c=4.094 alpha=129.47 beta=129.47 gamma=74.26
Positions (direct):
Be (0.000, 0.000, 0.000)
Fe (0.500, 0.500, 0.000)
Ni (0.250, 0.750, 0.500)
Ni (0.750, 0.250, 0.500)

---

# 4
Be4FeNi | PBEsol | optimized geometry

Its density of states at the Fermi level is 4.1 states/eV/f.u. The magnetization is 1.6 μB/cell. The value obtained for the formation energy is -1.29 eV/f.u. The space-group type is F-43m. As for the volume: 49.6 Å³/cell.

Unit cell a=4.125 b=4.125 c=4.125 alpha=60.00 beta=60.00 gamma=60.00
Positions (direct):
Be (0.376, 0.376, 0.376)
Be (0.376, 0.376, 0.872)
Be (0.376, 0.872, 0.376)
Be (0.872, 0.376, 0.376)
Fe (0.750, 0.750, 0.750)
Ni (0.000, 0.000, 0.000)

---

# 5
Be2FeNi | PBEsol | optimized geometry

As for the polymorph energy (0 for the lowest one): 2.89 kcal/mol of atoms. Its density of states at the Fermi level is 2.7 states/eV/f.u. The magnetization is 1.9 μB/cell. The value obtained for the formation energy is -0.73 eV/f.u. The space-group type is Imm2. As for the volume: 35.7 Å³/cell.

Unit cell a=4.435 b=4.435 c=4.435 alpha=146.85 beta=130.93 gamma=60.51
Positions (direct):
Be (0.000, 0.000, 0.000)
Be (0.763, 0.263, 0.500)
Fe (0.510, 0.510, 0.000)
Ni (0.243, 0.743, 0.500)

---

# 6
BeFeNi6 | PBEsol | optimized geometry

Its density of states at the Fermi level is 5.5 states/eV/f.u. The magnetization is 21.8 μB/cell. The value obtained for the formation energy is -1.06 eV/f.u. The space-group type is Cmmm. As for the volume: 323.6 Å³/cell.

Unit cell a=5.946 b=5.946 c=9.727 alpha=90.00 beta=90.00 gamma=109.78
Positions (direct):
Be (0.000, 0.000, 0.245)
Be (0.000, 0.000, 0.755)
Be (0.254, 0.746, 0.000)
Be (0.746, 0.254, 0.000)
Fe (0.253, 0.747, 0.500)
Fe (0.500, 0.500, 0.246)
Fe (0.500, 0.500, 0.754)
Fe (0.747, 0.253, 0.500)
Ni (0.000, 0.000, 0.000)
Ni (0.000, 0.000, 0.500)
Ni (0.121, 0.372, 0.123)
Ni (0.121, 0.372, 0.877)
Ni (0.122, 0.370, 0.373)
Ni (0.122, 0.370, 0.627)
Ni (0.249, 0.751, 0.246)
Ni (0.249, 0.751, 0.754)
Ni (0.370, 0.122, 0.373)
Ni (0.370, 0.122, 0.627)
Ni (0.372, 0.121, 0.123)
Ni (0.372, 0.121, 0.877)
Ni (0.500, 0.500, 0.000)
Ni (0.500, 0.500, 0.500)
Ni (0.628, 0.879, 0.123)
Ni (0.628, 0.879, 0.877)
Ni (0.630, 0.878, 0.373)
Ni (0.630, 0.878, 0.627)
Ni (0.751, 0.249, 0.246)
Ni (0.751, 0.249, 0.754)
Ni (0.878, 0.630, 0.373)
Ni (0.878, 0.630, 0.627)
Ni (0.879, 0.628, 0.123)
Ni (0.879, 0.628, 0.877)